Record 1
First-principles (GGA-PBE) data for crystalline Na3TiBr at its relaxed geometry, as listed in the Alexandria database.

Values from the calculation:
Crystal system: cubic
ΔE_f (raw), eV/atom: 0.233
Energy above the most stable polymorph in this dataset, meV per atom: 0

a b c (Å): 5.588 5.588 5.588
angles (deg): 90.00 90.00 90.00
Space group Pm-3m (No. 221)
One atom of each set of equivalent atoms:
Na  0.000  0.000  0.500 x3
Ti  0.500  0.500  0.500 x1
Br  0.000  0.000  0.000 x1

***

Record 2
First-principles (GGA-PBE) data for crystalline V5CuSe8 at its relaxed geometry, as listed in the Alexandria database.

Values from the calculation:
Crystal system: cubic
ΔE_f (raw), eV/atom: -0.584

a b c (Å): 10.554 10.554 10.554
angles (deg): 90.00 90.00 90.00
Space group F-43m (No. 216)
One atom of each set of equivalent atoms:
V  0.000  0.000  0.000 x4
V  0.116  0.116  0.384 x16
Cu  0.250  0.250  0.750 x4
Se  0.121  0.121  0.621 x16
Se  0.135  0.135  0.135 x16

***

In order of appearance, total energy = -2.472; -6.124 eV per atom.